# PBE HfCo2TcIr, optimized geometry
data_HfCo2TcIr
_symmetry_space_group_name_H-M 'P 4/m m m'
_symmetry_Int_Tables_number 123
_symmetry_space_group_name_Hall '-P 4 2'
_cell_length_a 4.270
_cell_length_b 4.270
_cell_length_c 4.918
_cell_angle_alpha 90.00
_cell_angle_beta 90.00
_cell_angle_gamma 90.00
loop_
_atom_site_label
_atom_site_fract_x
_atom_site_fract_y
_atom_site_fract_z
Hf1 0.000 0.000 0.000
Co1 0.000 0.500 0.500
Tc1 0.000 0.000 0.500
Ir1 0.500 0.500 0.000
# total DFT energy (no corrections)	-37.27	eV per cell
# density	10.86	g/cm³
# energy relative to the elements	1.225	eV per atom

=====

# PBE CeAlGaAg, optimized geometry
data_CeAlGaAg
_symmetry_space_group_name_H-M 'F -4 3 m'
_symmetry_Int_Tables_number 216
_symmetry_space_group_name_Hall 'F -4 2 3'
_cell_length_a 6.910
_cell_length_b 6.910
_cell_length_c 6.910
_cell_angle_alpha 90.00
_cell_angle_beta 90.00
_cell_angle_gamma 90.00
loop_
_atom_site_label
_atom_site_fract_x
_atom_site_fract_y
_atom_site_fract_z
Ce1 0.000 0.000 0.000
Al1 0.000 0.000 0.500
Ga1 0.250 0.250 0.750
Ag1 0.250 0.250 0.250
# total DFT energy (no corrections)	-66.85	eV per cell
# density	6.94	g/cm³
# energy relative to the elements	-0.289	eV per atom

=====

> The highest energy relative to the elements belongs to which entry?

HfCo2TcIr

=====

Copy entry 2 word for word.
# PBE CeAlGaAg, optimized geometry
data_CeAlGaAg
_symmetry_space_group_name_H-M 'F -4 3 m'
_symmetry_Int_Tables_number 216
_symmetry_space_group_name_Hall 'F -4 2 3'
_cell_length_a 6.910
_cell_length_b 6.910
_cell_length_c 6.910
_cell_angle_alpha 90.00
_cell_angle_beta 90.00
_cell_angle_gamma 90.00
loop_
_atom_site_label
_atom_site_fract_x
_atom_site_fract_y
_atom_site_fract_z
Ce1 0.000 0.000 0.000
Al1 0.000 0.000 0.500
Ga1 0.250 0.250 0.750
Ag1 0.250 0.250 0.250
# total DFT energy (no corrections)	-66.85	eV per cell
# density	6.94	g/cm³
# energy relative to the elements	-0.289	eV per atom

=====

Repeat the first record exactly.
# PBE HfCo2TcIr, optimized geometry
data_HfCo2TcIr
_symmetry_space_group_name_H-M 'P 4/m m m'
_symmetry_Int_Tables_number 123
_symmetry_space_group_name_Hall '-P 4 2'
_cell_length_a 4.270
_cell_length_b 4.270
_cell_length_c 4.918
_cell_angle_alpha 90.00
_cell_angle_beta 90.00
_cell_angle_gamma 90.00
loop_
_atom_site_label
_atom_site_fract_x
_atom_site_fract_y
_atom_site_fract_z
Hf1 0.000 0.000 0.000
Co1 0.000 0.500 0.500
Tc1 0.000 0.000 0.500
Ir1 0.500 0.500 0.000
# total DFT energy (no corrections)	-37.27	eV per cell
# density	10.86	g/cm³
# energy relative to the elements	1.225	eV per atom

=====

> Which formula does entry 2 have?

CeAlGaAg